No. 1
Entry from Alexandria: an optimized crystal structure of Ac2PmBi (PBE).

Cell and atoms, written as POSCAR:
```
Ac2PmBi
1.0
0.000 4.221 4.221
4.221 0.000 4.221
4.221 4.221 0.000
Ac Pm Bi
2 1 1
direct
0.250 0.250 0.250
0.750 0.750 0.750
0.000 0.000 0.000
0.500 0.500 0.500
```

Calculated values
* energy of formation from the pure elements: -64 kJ/mol of formula units
* calculated total energy: -4.379 eV per atom
* SG: Fm-3m (225)


No. 2
Entry from Alexandria: an optimized crystal structure of Dy4CdCuRh2 (PBE).

Cell and atoms, written as POSCAR:
```
Dy4CdCuRh2
1.0
2.486 1.435 8.108
-2.486 1.435 8.108
0.000 -2.870 8.108
Dy Cd Cu Rh
4 1 1 2
direct
0.120 0.120 0.120
0.371 0.371 0.371
0.629 0.629 0.629
0.880 0.880 0.880
0.500 0.500 0.500
0.000 0.000 0.000
0.248 0.248 0.248
0.752 0.752 0.752
```

Calculated values
* energy of formation from the pure elements: -425 kJ/mol of formula units
* calculated total energy: -5.315 eV per atom
* SG: R-3m (166)


No. 3
Entry from Alexandria: an optimized crystal structure of Ba4Zn4Cu (PBE).

Cell and atoms, written as POSCAR:
```
Ba4Zn4Cu
1.0
9.750 0.000 0.000
0.000 9.750 0.000
0.000 0.000 6.420
Ba Zn Cu
8 8 2
direct
0.041 0.751 0.084
0.249 0.541 0.584
0.251 0.959 0.584
0.459 0.749 0.084
0.541 0.251 0.916
0.749 0.041 0.416
0.751 0.459 0.416
0.959 0.249 0.916
0.098 0.249 0.402
0.249 0.402 0.098
0.251 0.098 0.098
0.402 0.251 0.402
0.598 0.749 0.598
0.749 0.902 0.902
0.751 0.598 0.902
0.902 0.751 0.598
0.250 0.250 0.750
0.750 0.750 0.250
```

Calculated values
* energy of formation from the pure elements: -74 kJ/mol of formula units
* calculated total energy: -1.961 eV per atom
* SG: P4_2/n (86)


No. 4
Entry from Alexandria: an optimized crystal structure of La2Sn5Rh3 (PBE).

Cell and atoms, written as POSCAR:
```
La2Sn5Rh3
1.0
-5.480 6.514 3.230
5.480 -6.514 3.230
5.480 6.514 -3.230
La Sn Rh
4 10 6
direct
0.144 0.228 0.373
0.356 0.728 0.084
0.644 0.272 0.916
0.856 0.772 0.627
0.029 0.750 0.279
0.087 0.668 0.754
0.250 0.250 0.000
0.413 0.168 0.581
0.471 0.750 0.721
0.529 0.250 0.279
0.587 0.832 0.419
0.750 0.750 0.000
0.913 0.332 0.246
0.971 0.250 0.721
0.141 0.895 0.036
0.250 0.750 0.500
0.359 0.395 0.753
0.641 0.605 0.247
0.750 0.250 0.500
0.859 0.105 0.964
```

Calculated values
* energy of formation from the pure elements: -716 kJ/mol of formula units
* calculated total energy: -5.935 eV per atom
* SG: Ibam (72)


No. 5
Entry from Alexandria: an optimized crystal structure of LaCBr (PBE).

Cell and atoms, written as POSCAR:
```
LaCBr
1.0
1.881 -11.766 0.000
1.881 11.766 0.000
0.000 0.000 3.374
La C Br
2 2 2
direct
0.068 0.932 0.750
0.932 0.068 0.250
0.483 0.517 0.750
0.517 0.483 0.250
0.169 0.831 0.250
0.831 0.169 0.750
```

Calculated values
* calculated total energy: -5.773 eV per atom
* raw formation energy: -0.50 eV/atom
* SG: Cmcm (63)


No. 6
Entry from Alexandria: an optimized crystal structure of CsZrHgBi2 (PBE).

Cell and atoms, written as POSCAR:
```
CsZrHgBi2
1.0
5.737 0.000 0.000
0.000 5.737 0.000
0.000 0.000 5.953
Cs Zr Hg Bi
1 1 1 2
direct
0.000 0.000 0.000
0.500 0.500 0.500
0.500 0.500 0.000
0.000 0.500 0.500
0.500 0.000 0.500
```

Calculated values
* energy of formation from the pure elements: -85 kJ/mol of formula units
* calculated total energy: -3.670 eV per atom
* SG: P4/mmm (123)